First-principles (PBE) data for a relaxed Pr2DyTh3 crystal, as listed in the Alexandria database.

Lattice parameters (Å, degrees): 7.730 7.730 6.802 90.00 90.00 96.01
Sites, in units of the cell vectors:
Pr  0.063  0.602  0.750
Pr  0.398  0.937  0.750
Pr  0.602  0.063  0.250
Pr  0.937  0.398  0.250
Dy  0.271  0.729  0.250
Dy  0.729  0.271  0.750
Th  0.000  0.000  0.000
Th  0.000  0.000  0.500
Th  0.334  0.334  0.000
Th  0.334  0.334  0.500
Th  0.666  0.666  0.000
Th  0.666  0.666  0.500

Calculated values
Formation enthalpy at 0 K ... 201.9 meV per atom
M_tot ... 0.00 μB/f.u.
SG ... Cmcm (63)